PBE Mg2ZnCuAg, relaxed; space group = P4/mmm (123); crystal system = tetragonal; electronic total energy = -1.8197 eV per atom; energy relative to the elements = 0.462 eV per atom
1.0
5.081 0.000 0.000
0.000 5.081 0.000
0.000 0.000 4.813
Mg Zn Cu Ag
2 1 1 1
Cartesian
0.000 2.540 0.000
2.540 0.000 0.000
0.000 0.000 2.406
2.540 2.540 2.406
2.540 2.540 0.000

---

PBE MgZrCuAg, relaxed; space group = F-43m (216); crystal system = cubic; electronic total energy = -4.4047 eV per atom; energy relative to the elements = -0.132 eV per atom
1.0
0.000 3.302 3.302
3.302 0.000 3.302
3.302 3.302 0.000
Mg Zr Cu Ag
1 1 1 1
Cartesian
0.000 0.000 0.000
3.302 3.302 3.302
1.651 1.651 1.651
4.952 4.952 4.952

---

PBE MnCuAg2, relaxed; excess energy over the best structure of this formula in the dataset = 96 meV per atom; space group = P2/m (10); crystal system = monoclinic; electronic total energy = -4.4769 eV per atom; energy relative to the elements = 0.265 eV per atom
1.0
2.783 0.000 0.000
0.000 4.657 0.000
-0.327 0.000 4.934
Mn Cu Ag
1 1 2
Cartesian
0.000 0.000 0.000
1.228 0.000 2.467
0.492 2.329 3.687
1.964 2.329 1.247

---

PBE Mn2CuAg, relaxed; excess energy over the best structure of this formula in the dataset = 120 meV per atom; space group = C2/m (12); crystal system = monoclinic; electronic total energy = -5.9980 eV per atom; energy relative to the elements = 0.324 eV per atom
1.0
2.833 -3.707 0.000
2.833 3.707 0.000
-0.016 0.000 2.864
Mn Cu Ag
2 1 1
Cartesian
1.417 1.853 0.000
1.417 -1.853 0.000
-0.008 0.000 1.432
2.825 0.000 1.432

---

PBE MnCuAg2, relaxed; excess energy over the best structure of this formula in the dataset = 0 meV per atom; space group = Pm (6); crystal system = monoclinic; electronic total energy = -4.5732 eV per atom; energy relative to the elements = 0.169 eV per atom
1.0
3.009 0.000 0.000
0.000 3.040 0.000
-0.014 0.000 6.911
Mn Cu Ag
1 1 2
Cartesian
0.000 0.000 0.000
1.503 1.520 1.410
3.002 0.000 3.092
1.493 1.520 5.091

---

PBE Mn2CuAg, relaxed; excess energy over the best structure of this formula in the dataset = 675 meV per atom; space group = Fm-3m (225); crystal system = cubic; electronic total energy = -5.4429 eV per atom; energy relative to the elements = 0.879 eV per atom
1.0
0.000 2.963 2.963
2.963 0.000 2.963
2.963 2.963 0.000
Mn Cu Ag
2 1 1
Cartesian
1.481 1.481 1.481
4.444 4.444 4.444
0.000 0.000 0.000
2.963 2.963 2.963

---

PBE Mn2CuAg, relaxed; excess energy over the best structure of this formula in the dataset = 154 meV per atom; space group = R-3m (166); crystal system = trigonal; electronic total energy = -5.9643 eV per atom; energy relative to the elements = 0.357 eV per atom
1.0
1.381 0.797 8.869
-1.381 0.797 8.869
0.000 -1.594 8.869
Mn Cu Ag
2 1 1
Cartesian
0.000 0.000 6.505
0.000 0.000 20.100
0.000 0.000 13.303
0.000 0.000 0.000

---

PBE Mn2CuAg, relaxed; excess energy over the best structure of this formula in the dataset = 132 meV per atom; space group = Imm2 (44); crystal system = orthorhombic; electronic total energy = -5.9857 eV per atom; energy relative to the elements = 0.336 eV per atom
1.0
-1.935 1.953 3.944
1.935 -1.953 3.944
1.935 1.953 -3.944
Mn Cu Ag
2 1 1
Cartesian
0.000 0.000 0.000
0.000 1.953 1.969
0.000 0.000 3.950
1.935 0.000 1.976

---

PBE MnCuAg2, relaxed; excess energy over the best structure of this formula in the dataset = 25 meV per atom; space group = I4/mmm (139); crystal system = tetragonal; electronic total energy = -4.5482 eV per atom; energy relative to the elements = 0.194 eV per atom
1.0
-1.994 1.994 3.977
1.994 -1.994 3.977
1.994 1.994 -3.977
Mn Cu Ag
1 1 2
Cartesian
0.000 0.000 0.000
0.000 0.000 3.977
1.994 0.000 1.988
0.000 1.994 1.988

---

PBE MnCuAg2, relaxed; excess energy over the best structure of this formula in the dataset = 78 meV per atom; space group = P4/mmm (123); crystal system = tetragonal; electronic total energy = -4.4956 eV per atom; energy relative to the elements = 0.246 eV per atom
1.0
4.121 0.000 0.000
0.000 4.121 0.000
0.000 0.000 3.755
Mn Cu Ag
1 1 2
Cartesian
0.000 0.000 0.000
2.060 2.060 0.000
0.000 2.060 1.878
2.060 0.000 1.878

---

PBE MnCuAg, relaxed; excess energy over the best structure of this formula in the dataset = 0 meV per atom; space group = I4mm (107); crystal system = tetragonal; electronic total energy = -5.1920 eV per atom; energy relative to the elements = 0.180 eV per atom
1.0
-1.604 1.604 4.351
1.604 -1.604 4.351
1.604 1.604 -4.351
Mn Cu Ag
1 1 1
Cartesian
0.000 0.000 0.000
0.000 0.000 3.076
0.000 0.000 5.918

---

PBE Mn2CuAg, relaxed; excess energy over the best structure of this formula in the dataset = 112 meV per atom; space group = I4/mmm (139); crystal system = tetragonal; electronic total energy = -6.0064 eV per atom; energy relative to the elements = 0.315 eV per atom
1.0
-1.988 1.988 3.783
1.988 -1.988 3.783
1.988 1.988 -3.783
Mn Cu Ag
2 1 1
Cartesian
1.988 0.000 1.891
0.000 1.988 1.891
0.000 0.000 0.000
0.000 0.000 3.783